[1]
Computed, not measured: a relaxed structure of Hf2Hg2Bi at the GGA-PBE level of DFT.

a b c (Å): 8.6560 8.6560 3.2265
angles (deg): 90.00 90.00 90.00
Closest atoms and distances in Å follow each position.
Fractional coordinates of all 10 atoms:
Hf: 0.1243 0.3757 0.0000  6 Hg 3.00-3.04, 3 Hf 3.04-3.23
Hf: 0.3757 0.8757 0.0000  6 Hg 3.00-3.04, 3 Hf 3.04-3.23
Hf: 0.6243 0.1243 0.0000  6 Hg 3.00-3.04, 3 Hf 3.04-3.23
Hf: 0.8757 0.6243 0.0000  6 Hg 3.00-3.04, 3 Hf 3.04-3.23
Hg: 0.1694 0.6694 0.5000  6 Hf 3.00-3.04, 2 Bi 3.22, 2 Hg 3.23
Hg: 0.3306 0.1694 0.5000  6 Hf 3.00-3.04, 2 Bi 3.22, 2 Hg 3.23
Hg: 0.6694 0.8306 0.5000  6 Hf 3.00-3.04, 2 Bi 3.22, 2 Hg 3.23
Hg: 0.8306 0.3306 0.5000  6 Hf 3.00-3.04, 2 Bi 3.22, 2 Hg 3.23
Bi: 0.0000 0.0000 0.5000  4 Hg 3.22, 2 Bi 3.23
Bi: 0.5000 0.5000 0.5000  4 Hg 3.22, 2 Bi 3.23

* E_tot: -23.71 eV per formula unit
* formation energy from the elements: 0.14 eV/atom
* offset from the most stable computed form: 70 meV/atom

[2]
Computed, not measured: a relaxed structure of HgSb6Pb12 at the GGA-PBE level of DFT.

a b c (Å): 8.5956 8.5956 8.5956
angles (deg): 95.97 95.97 95.97
Closest atoms and distances in Å follow each position.
Fractional coordinates of all 19 atoms:
Hg: 0.0000 0.0000 0.0000  6 Pb 3.23
Sb: 0.1616 0.7374 0.3236  6 Pb 3.12-3.34
Sb: 0.2626 0.6764 0.8384  6 Pb 3.12-3.34
Sb: 0.3236 0.1616 0.7374  6 Pb 3.12-3.34
Sb: 0.6764 0.8384 0.2626  6 Pb 3.12-3.34
Sb: 0.7374 0.3236 0.1616  6 Pb 3.12-3.34
Sb: 0.8384 0.2626 0.6764  6 Pb 3.12-3.34
Pb: 0.0523 0.8778 0.6425  3 Sb 3.12-3.17, 1 Hg 3.23, 1 Pb 3.38
Pb: 0.1222 0.3575 0.9477  3 Sb 3.12-3.17, 1 Hg 3.23, 1 Pb 3.38
Pb: 0.2105 0.4329 0.5128  3 Sb 3.26-3.34, 5 Pb 3.38-3.64
Pb: 0.3575 0.9477 0.1222  3 Sb 3.12-3.17, 1 Hg 3.23, 1 Pb 3.38
Pb: 0.4329 0.5129 0.2105  3 Sb 3.26-3.34, 5 Pb 3.38-3.64
Pb: 0.4872 0.7895 0.5671  3 Sb 3.26-3.34, 5 Pb 3.38-3.64
Pb: 0.5129 0.2105 0.4329  3 Sb 3.26-3.34, 5 Pb 3.38-3.64
Pb: 0.5671 0.4872 0.7895  3 Sb 3.26-3.34, 5 Pb 3.38-3.64
Pb: 0.6425 0.0523 0.8778  3 Sb 3.12-3.17, 1 Hg 3.23, 1 Pb 3.38
Pb: 0.7895 0.5671 0.4871  3 Sb 3.26-3.34, 5 Pb 3.38-3.64
Pb: 0.8778 0.6425 0.0523  3 Sb 3.12-3.17, 1 Hg 3.23, 1 Pb 3.38
Pb: 0.9477 0.1222 0.3575  3 Sb 3.12-3.17, 1 Hg 3.23, 1 Pb 3.38

* E_tot: -68.43 eV per formula unit
* formation energy without anion corrections: 58 meV/atom
* offset from the most stable computed form: 18 meV/atom

[3]
Computed, not measured: a relaxed structure of BeCu2W at the GGA-PBE level of DFT.

a b c (Å): 2.6126 3.7198 5.2010
angles (deg): 90.00 104.31 90.00
Closest atoms and distances in Å follow each position.
Fractional coordinates of all 4 atoms:
Be: 0.0000 0.0000 0.0000  2 Cu 2.25
Cu: 0.1256 0.5000 0.2513  2 Be 2.25
Cu: 0.7409 0.0000 0.4805  6 Cu 2.55-2.61, 3 Be 2.62-2.76, 4 W 2.71-2.72
W: 0.3904 0.5000 0.7753  4 Be 2.54, 2 W 2.61, 7 Cu 2.64-2.73

* E_tot: -23.99 eV per formula unit
* formation energy from the elements: 0.22 eV/atom
* offset from the most stable computed form: 146 meV/atom

[4]
Computed, not measured: a relaxed structure of Sr3Sc3CuSe8 at the GGA-PBE level of DFT.

a b c (Å): 8.3532 8.3532 8.3532
angles (deg): 57.73 57.73 57.73
Closest atoms and distances in Å follow each position.
Fractional coordinates of all 15 atoms:
Sr: 0.0000 0.5000 0.5000  6 Se 3.04-3.09
Sr: 0.5000 0.0000 0.5000  6 Se 3.04-3.09
Sr: 0.5000 0.5000 0.0000  6 Se 3.04-3.09
Sc: 0.0000 0.0000 0.5000  6 Se 2.73-2.78
Sc: 0.0000 0.5000 0.0000  6 Se 2.73-2.78
Sc: 0.5000 0.0000 0.0000  6 Se 2.73-2.78
Cu: 0.5000 0.5000 0.5000  6 Se 2.78
Se: 0.2318 0.7392 0.7392  2 Sc 2.73, 1 Cu 2.78
Se: 0.2393 0.2393 0.2393  3 Sc 2.78, 3 Sr 3.04
Se: 0.2608 0.2608 0.7682  2 Sc 2.73, 1 Cu 2.78
Se: 0.2608 0.7682 0.2608  2 Sc 2.73, 1 Cu 2.78
Se: 0.7392 0.2318 0.7392  2 Sc 2.73, 1 Cu 2.78
Se: 0.7392 0.7392 0.2318  2 Sc 2.73, 1 Cu 2.78
Se: 0.7607 0.7607 0.7607  3 Sc 2.78, 3 Sr 3.04
Se: 0.7682 0.2608 0.2608  2 Sc 2.73, 1 Cu 2.78

* E_tot: -79.33 eV per formula unit
* formation energy without anion corrections: -1554 meV/atom